## TiTlZn2Br (PBE)

Data for a relaxed TiTlZn2Br crystal.

Properties
* V: 31.5 Å³/atom
* uncorrected formation energy: 0.4999 eV/atom

a = 5.219 Å, b = 5.219 Å, c = 5.789 Å
α = 90.00°, β = 90.00°, γ = 90.00°
Space group P4/mmm (No. 123)
Asymmetric unit:
Ti 0.000 0.000 0.000
Tl 0.000 0.000 0.500
Zn 0.000 0.500 0.000
Br 0.500 0.500 0.500

## NdYOsPd (PBE)

Data for a relaxed NdYOsPd crystal.

Properties
* V: 21.7 Å³/atom
* electronic total energy: -29.269 eV per formula unit

a = 7.025 Å, b = 7.025 Å, c = 7.025 Å
α = 90.00°, β = 90.00°, γ = 90.00°
Space group F-43m (No. 216)
Asymmetric unit:
Nd 0.000 0.000 0.000
Y 0.000 0.000 0.500
Os 0.250 0.250 0.750
Pd 0.250 0.250 0.250

## NaInS2 (PBE)

Data for a relaxed NaInS2 crystal.

Properties
* V: 24.7 Å³/atom
* uncorrected formation energy: -0.7647 eV/atom

a = 7.369 Å, b = 3.760 Å, c = 14.249 Å
α = 90.00°, β = 90.00°, γ = 90.00°
Space group Pnma (No. 62)
Asymmetric unit:
Na 0.090 0.250 0.114
In 0.030 0.750 0.391
S 0.080 0.750 0.712
S 0.228 0.250 0.481

## Pm3TlRh (PBE)

Data for a relaxed Pm3TlRh crystal.

Properties
* energy relative to the lowest polymorph listed for this composition: 0 meV per atom
* V: 28.3 Å³/atom

a = 7.483 Å, b = 4.973 Å, c = 15.206 Å
α = 90.00°, β = 90.00°, γ = 90.00°
Space group Pnma (No. 62)
Asymmetric unit:
Pm 0.009 0.250 0.102
Pm 0.136 0.750 0.460
Pm 0.193 0.250 0.722
Tl 0.081 0.250 0.324
Rh 0.219 0.750 0.045

## CsNaCd2Si (PBE)

Data for a relaxed CsNaCd2Si crystal.

Properties
* V: 34.6 Å³/atom
* uncorrected formation energy: 0.1451 eV/atom

a = 5.489 Å, b = 5.489 Å, c = 5.741 Å
α = 90.00°, β = 90.00°, γ = 90.00°
Space group P4/mmm (No. 123)
Asymmetric unit:
Cs 0.000 0.000 0.000
Na 0.500 0.500 0.000
Cd 0.000 0.500 0.500
Si 0.500 0.500 0.500

## Pm2NdHo5Th (PBE)

Data for a relaxed Pm2NdHo5Th crystal.

Properties
* V: 33.1 Å³/atom
* electronic total energy: -43.112 eV per formula unit

a = 5.641 Å, b = 20.080 Å, c = 10.504 Å
α = 90.00°, β = 90.00°, γ = 90.00°
Space group Cmc2_1 (No. 36)
Asymmetric unit:
Pm 0.000 0.114 0.000
Pm 0.000 0.116 0.410
Nd 0.000 0.413 0.130
Ho 0.000 0.017 0.705
Ho 0.000 0.277 0.996
Ho 0.000 0.298 0.390
Ho 0.000 0.388 0.704
Ho 0.000 0.479 0.417
Th 0.000 0.202 0.694

## Tb2Dy3Ho6Th (PBE)

Data for a relaxed Tb2Dy3Ho6Th crystal.

Properties
* V: 31.4 Å³/atom
* electronic total energy: -57.670 eV per formula unit

a = 6.139 Å, b = 10.621 Å, c = 11.725 Å
α = 90.00°, β = 100.04°, γ = 90.00°
Space group C2/m (No. 12)
Asymmetric unit:
Tb 0.000 0.167 0.000
Dy 0.000 0.000 0.500
Dy 0.000 0.333 0.500
Ho 0.246 0.500 0.750
Ho 0.249 0.335 0.250
Th 0.000 0.500 0.000

## TcPb2Br (PBE)

Data for a relaxed TcPb2Br crystal.

Properties
* energy relative to the lowest polymorph listed for this composition: 349 meV per atom
* V: 36.7 Å³/atom
* uncorrected formation energy: 0.6368 eV/atom

a = 6.605 Å, b = 6.605 Å, c = 13.458 Å
α = 90.00°, β = 90.00°, γ = 90.00°
Space group I-42d (No. 122)
Asymmetric unit:
Tc 0.000 0.000 0.000
Pb 0.174 0.250 0.125
Br 0.000 0.000 0.500

## TaHPd2Au (PBE)

Data for a relaxed TaHPd2Au crystal.

Properties
* V: 13.7 Å³/atom
* electronic total energy: -28.905 eV per formula unit

a = 4.042 Å, b = 4.042 Å, c = 4.205 Å
α = 90.00°, β = 90.00°, γ = 90.00°
Space group P4/mmm (No. 123)
Asymmetric unit:
Ta 0.000 0.000 0.000
H 0.000 0.000 0.500
Pd 0.000 0.500 0.500
Au 0.500 0.500 0.000

## SrCdIn2H (PBE)

Data for a relaxed SrCdIn2H crystal.

Properties
* V: 23.1 Å³/atom
* electronic total energy: -12.076 eV per formula unit

a = 4.909 Å, b = 4.909 Å, c = 4.793 Å
α = 90.00°, β = 90.00°, γ = 90.00°
Space group P4/mmm (No. 123)
Asymmetric unit:
Sr 0.000 0.000 0.000
Cd 0.500 0.500 0.000
In 0.000 0.500 0.500
H 0.000 0.000 0.500

## Tl2ReO6 (PBE)

Data for a relaxed Tl2ReO6 crystal.

Properties
* energy relative to the lowest polymorph listed for this composition: 0 meV per atom
* V: 15.7 Å³/atom
* uncorrected formation energy: -1.0063 eV/atom

a = 5.474 Å, b = 5.662 Å, c = 9.137 Å
α = 90.00°, β = 90.00°, γ = 90.00°
Space group Pnnm (No. 58)
Asymmetric unit:
Tl 0.000 0.000 0.206
Re 0.000 0.500 0.000
O 0.184 0.220 0.000
O 0.199 0.645 0.150

## MgVAg (PBE)

Data for a relaxed MgVAg crystal.

Properties
* energy relative to the lowest polymorph listed for this composition: 774 meV per atom
* V: 21.6 Å³/atom

a = 6.372 Å, b = 6.372 Å, c = 6.372 Å
α = 90.00°, β = 90.00°, γ = 90.00°
Space group F-43m (No. 216)
Asymmetric unit:
Mg 0.000 0.000 0.000
V 0.250 0.250 0.750
Ag 0.250 0.250 0.250